#one
Ge2B2Sb: optimized geometry, PBE-GGA.

Total magnetization (μB per cell): 0.00

CIF file:
```
data_Ge2B2Sb
_chemical_formula_sum 'Ge4 B4 Sb2'
_cell_length_a 4.187
_cell_length_b 4.187
_cell_length_c 8.664
_cell_angle_alpha 90.00
_cell_angle_beta 90.00
_cell_angle_gamma 90.00
_symmetry_space_group_name_H-M 'I 4/m m m'
_symmetry_Int_Tables_number 139
_symmetry_space_group_name_Hall '-I 4 2'
loop_
_atom_site_label
_atom_site_fract_x
_atom_site_fract_y
_atom_site_fract_z
_atom_site_occupancy
Ge1 0.000 0.500 0.250 1
B1 0.000 0.000 0.099 1
Sb1 0.000 0.000 0.500 1
```



#two
Ge2B2Sb: optimized geometry, PBE-GGA.

Total magnetization (μB per cell): 0.00

CIF file:
```
data_Ge2B2Sb
_chemical_formula_sum 'Ge4 B4 Sb2'
_cell_length_a 6.827
_cell_length_b 6.827
_cell_length_c 3.399
_cell_angle_alpha 90.00
_cell_angle_beta 90.00
_cell_angle_gamma 90.00
_symmetry_space_group_name_H-M 'P 4/m b m'
_symmetry_Int_Tables_number 127
_symmetry_space_group_name_Hall '-P 4 2ab'
loop_
_atom_site_label
_atom_site_fract_x
_atom_site_fract_y
_atom_site_fract_z
_atom_site_occupancy
Ge1 0.149 0.351 0.000 1
B1 0.088 0.588 0.500 1
Sb1 0.000 0.000 0.500 1
```



Relative energies in kJ/mol of atoms: #one 0.0; #two 7.3



#one
GeB3Sb: optimized geometry, PBE-GGA.

Total magnetization (μB per cell): 0.00

CIF file:
```
data_GeB3Sb
_chemical_formula_sum 'Ge1 B3 Sb1'
_cell_length_a 4.478
_cell_length_b 4.478
_cell_length_c 4.478
_cell_angle_alpha 90.00
_cell_angle_beta 90.00
_cell_angle_gamma 90.00
_symmetry_space_group_name_H-M 'P m -3 m'
_symmetry_Int_Tables_number 221
_symmetry_space_group_name_Hall '-P 4 2 3'
loop_
_atom_site_label
_atom_site_fract_x
_atom_site_fract_y
_atom_site_fract_z
_atom_site_occupancy
Ge1 0.000 0.000 0.000 1
B1 0.000 0.500 0.500 1
Sb1 0.500 0.500 0.500 1
```



#two
GeB3Sb: optimized geometry, PBE-GGA.

Total magnetization (μB per cell): 0.00

CIF file:
```
data_GeB3Sb
_chemical_formula_sum 'Ge1 B3 Sb1'
_cell_length_a 4.218
_cell_length_b 4.218
_cell_length_c 4.218
_cell_angle_alpha 90.00
_cell_angle_beta 90.00
_cell_angle_gamma 90.00
_symmetry_space_group_name_H-M 'P m -3 m'
_symmetry_Int_Tables_number 221
_symmetry_space_group_name_Hall '-P 4 2 3'
loop_
_atom_site_label
_atom_site_fract_x
_atom_site_fract_y
_atom_site_fract_z
_atom_site_occupancy
Ge1 0.000 0.000 0.000 1
B1 0.000 0.000 0.500 1
Sb1 0.500 0.500 0.500 1
```



Relative energies in kJ/mol of atoms: #one 44.3; #two 0.0



#one
Ge3BSb: optimized geometry, PBE-GGA.

Total magnetization (μB per cell): 0.00

CIF file:
```
data_Ge3BSb
_chemical_formula_sum 'Ge3 B1 Sb1'
_cell_length_a 5.310
_cell_length_b 5.310
_cell_length_c 5.310
_cell_angle_alpha 90.00
_cell_angle_beta 90.00
_cell_angle_gamma 90.00
_symmetry_space_group_name_H-M 'P m -3 m'
_symmetry_Int_Tables_number 221
_symmetry_space_group_name_Hall '-P 4 2 3'
loop_
_atom_site_label
_atom_site_fract_x
_atom_site_fract_y
_atom_site_fract_z
_atom_site_occupancy
Ge1 0.000 0.000 0.500 1
B1 0.500 0.500 0.500 1
Sb1 0.000 0.000 0.000 1
```



#two
Ge3BSb: optimized geometry, PBE-GGA.

Total magnetization (μB per cell): 0.00

CIF file:
```
data_Ge3BSb
_chemical_formula_sum 'Ge3 B1 Sb1'
_cell_length_a 4.533
_cell_length_b 4.533
_cell_length_c 4.533
_cell_angle_alpha 90.00
_cell_angle_beta 90.00
_cell_angle_gamma 90.00
_symmetry_space_group_name_H-M 'P m -3 m'
_symmetry_Int_Tables_number 221
_symmetry_space_group_name_Hall '-P 4 2 3'
loop_
_atom_site_label
_atom_site_fract_x
_atom_site_fract_y
_atom_site_fract_z
_atom_site_occupancy
Ge1 0.000 0.000 0.500 1
B1 0.000 0.000 0.000 1
Sb1 0.500 0.500 0.500 1
```



Relative energies in kJ/mol of atoms: #one 122.8; #two 0.0



#one
GeB2Sb: optimized geometry, PBE-GGA.

Total magnetization (μB per cell): 0.00

CIF file:
```
data_GeB2Sb
_chemical_formula_sum 'Ge4 B8 Sb4'
_cell_length_a 6.131
_cell_length_b 6.131
_cell_length_c 6.131
_cell_angle_alpha 90.00
_cell_angle_beta 90.00
_cell_angle_gamma 90.00
_symmetry_space_group_name_H-M 'F m -3 m'
_symmetry_Int_Tables_number 225
_symmetry_space_group_name_Hall '-F 4 2 3'
loop_
_atom_site_label
_atom_site_fract_x
_atom_site_fract_y
_atom_site_fract_z
_atom_site_occupancy
Ge1 0.000 0.000 0.000 1
B1 0.250 0.250 0.250 1
Sb1 0.000 0.000 0.500 1
```



#two
GeB2Sb: optimized geometry, PBE-GGA.

Total magnetization (μB per cell): 0.00

CIF file:
```
data_GeB2Sb
_chemical_formula_sum 'Ge4 B8 Sb4'
_cell_length_a 5.088
_cell_length_b 5.088
_cell_length_c 10.026
_cell_angle_alpha 90.00
_cell_angle_beta 90.00
_cell_angle_gamma 90.00
_symmetry_space_group_name_H-M 'I -4 2 d'
_symmetry_Int_Tables_number 122
_symmetry_space_group_name_Hall 'I -4 2bw'
loop_
_atom_site_label
_atom_site_fract_x
_atom_site_fract_y
_atom_site_fract_z
_atom_site_occupancy
Ge1 0.000 0.000 0.000 1
B1 0.224 0.250 0.125 1
Sb1 0.000 0.000 0.500 1
```



Relative energies in kJ/mol of atoms: #one 98.2; #two 0.0



#one
ScGe3B: optimized geometry, PBE-GGA.

Total magnetization (μB per cell): 0.00

CIF file:
```
data_ScGe3B
_chemical_formula_sum 'Sc1 Ge3 B1'
_cell_length_a 5.093
_cell_length_b 5.093
_cell_length_c 5.093
_cell_angle_alpha 90.00
_cell_angle_beta 90.00
_cell_angle_gamma 90.00
_symmetry_space_group_name_H-M 'P m -3 m'
_symmetry_Int_Tables_number 221
_symmetry_space_group_name_Hall '-P 4 2 3'
loop_
_atom_site_label
_atom_site_fract_x
_atom_site_fract_y
_atom_site_fract_z
_atom_site_occupancy
Sc1 0.000 0.000 0.000 1
Ge1 0.000 0.000 0.500 1
B1 0.500 0.500 0.500 1
```



#two
ScGe3B: optimized geometry, PBE-GGA.

Total magnetization (μB per cell): 0.00

CIF file:
```
data_ScGe3B
_chemical_formula_sum 'Sc1 Ge3 B1'
_cell_length_a 4.448
_cell_length_b 4.448
_cell_length_c 4.448
_cell_angle_alpha 90.00
_cell_angle_beta 90.00
_cell_angle_gamma 90.00
_symmetry_space_group_name_H-M 'P m -3 m'
_symmetry_Int_Tables_number 221
_symmetry_space_group_name_Hall '-P 4 2 3'
loop_
_atom_site_label
_atom_site_fract_x
_atom_site_fract_y
_atom_site_fract_z
_atom_site_occupancy
Sc1 0.000 0.000 0.000 1
Ge1 0.000 0.500 0.500 1
B1 0.500 0.500 0.500 1
```



Relative energies in kJ/mol of atoms: #one 97.2; #two 0.0



#one
ScGeB3: optimized geometry, PBE-GGA.

Total magnetization (μB per cell): 0.00

CIF file:
```
data_ScGeB3
_chemical_formula_sum 'Sc1 Ge1 B3'
_cell_length_a 4.420
_cell_length_b 4.420
_cell_length_c 4.420
_cell_angle_alpha 90.00
_cell_angle_beta 90.00
_cell_angle_gamma 90.00
_symmetry_space_group_name_H-M 'P m -3 m'
_symmetry_Int_Tables_number 221
_symmetry_space_group_name_Hall '-P 4 2 3'
loop_
_atom_site_label
_atom_site_fract_x
_atom_site_fract_y
_atom_site_fract_z
_atom_site_occupancy
Sc1 0.000 0.000 0.000 1
Ge1 0.500 0.500 0.500 1
B1 0.000 0.000 0.500 1
```



#two
ScGeB3: optimized geometry, PBE-GGA.

Total magnetization (μB per cell): 0.00

CIF file:
```
data_ScGeB3
_chemical_formula_sum 'Sc1 Ge1 B3'
_cell_length_a 4.084
_cell_length_b 4.084
_cell_length_c 4.084
_cell_angle_alpha 90.00
_cell_angle_beta 90.00
_cell_angle_gamma 90.00
_symmetry_space_group_name_H-M 'P m -3 m'
_symmetry_Int_Tables_number 221
_symmetry_space_group_name_Hall '-P 4 2 3'
loop_
_atom_site_label
_atom_site_fract_x
_atom_site_fract_y
_atom_site_fract_z
_atom_site_occupancy
Sc1 0.000 0.000 0.000 1
Ge1 0.500 0.500 0.500 1
B1 0.000 0.500 0.500 1
```



Relative energies in kJ/mol of atoms: #one 69.0; #two 0.0